Entry 1:
## Cs2LiBiI6 (PBE)

Data for a relaxed Cs2LiBiI6 crystal.

POSCAR file:
```
Cs2LiBiI6
1.0
-7.500 -3.978 0.984
2.402 -2.586 7.855
-4.834 10.190 4.832
Li Cs I Bi
2 4 12 2
direct
0.000 0.500 0.500 Li
0.500 0.000 0.000 Li
0.488 0.456 0.249 Cs
0.012 0.956 0.251 Cs
0.512 0.544 0.751 Cs
0.988 0.044 0.749 Cs
0.784 0.789 0.978 I
0.951 0.495 0.251 I
0.451 0.005 0.751 I
0.788 0.783 0.527 I
0.212 0.217 0.473 I
0.716 0.289 0.522 I
0.712 0.283 0.973 I
0.049 0.505 0.749 I
0.284 0.711 0.478 I
0.216 0.211 0.022 I
0.549 0.995 0.249 I
0.288 0.717 0.027 I
0.000 0.500 0.000 Bi
0.500 0.000 0.500 Bi
```

Results
V	903.07	Å³/cell
calculated total energy	-2.728	eV per atom
E_form (uncorrected)	-1.0481	eV per atom
space group	P2_1/c



Entry 2:
## CsLiBiI2 (PBE)

Data for a relaxed CsLiBiI2 crystal.

POSCAR file:
```
CsLiBiI2
1.0
6.402 0.000 0.000
0.000 7.253 0.000
0.000 0.000 6.402
Li Bi Cs I
1 1 1 2
direct
0.500 0.500 0.500 Li
0.000 0.000 0.000 Bi
0.000 0.500 0.000 Cs
0.500 0.000 0.000 I
0.000 0.000 0.500 I
```

Results
V	297.28	Å³/cell
calculated total energy	-2.081	eV per atom
E_form (uncorrected)	-0.1308	eV per atom
space group	P4/mmm